(1)
The following is a PBE-GGA calculation of a geometry-optimized AcBiAu structure, from OQMD.

a b c (Å): 7.3214 7.3214 7.3214
angles (deg): 90.00 90.00 90.00
Space group F-43m (No. 216)
One atom of each set of equivalent atoms:
Ac 0.0000 0.0000 0.0000 (multiplicity 4)
Bi 0.0000 0.0000 0.5000 (multiplicity 4)
Au 0.2500 0.2500 0.2500 (multiplicity 4)

Values from the calculation:
**ρ**: 10.71 g/cm3
**ΔE to the lowest computed polymorph**: 0.000 eV/atom
**Total moment**: 0.0 μB per cell


(2)
The following is a PBE-GGA calculation of a geometry-optimized AcBiAu structure, from OQMD.

a b c (Å): 7.6221 7.6221 7.6221
angles (deg): 90.00 90.00 90.00
Space group F-43m (No. 216)
One atom of each set of equivalent atoms:
Ac 0.0000 0.0000 0.0000 (multiplicity 4)
Bi 0.2500 0.2500 0.2500 (multiplicity 4)
Au 0.2500 0.2500 0.7500 (multiplicity 4)

Values from the calculation:
**ρ**: 9.49 g/cm3
**ΔE to the lowest computed polymorph**: 0.338 eV/atom
**Total moment**: 0.0 μB per cell


(3)
The following is a PBE-GGA calculation of a geometry-optimized Ac3Cd4Au4 structure, from OQMD.

a b c (Å): 4.4803 8.2472 15.6532
angles (deg): 90.00 90.00 90.00
Space group Immm (No. 71)
One atom of each set of equivalent atoms:
Ac 0.0000 0.0000 0.0000 (multiplicity 2)
Ac 0.0000 0.5000 0.1237 (multiplicity 4)
Cd 0.0000 0.3081 0.3274 (multiplicity 8)
Au 0.0000 0.0000 0.2232 (multiplicity 4)
Au 0.0000 0.1916 0.5000 (multiplicity 4)

Values from the calculation:
**ρ**: 11.02 g/cm3
**DFT formation energy**: -14.0 kcal/mol of atoms
**Total moment**: 0.0 μB per cell


(4)
The following is a PBE-GGA calculation of a geometry-optimized AcCd2Au4 structure, from OQMD.

a b c (Å): 7.3641 7.3641 5.6830
angles (deg): 90.00 90.00 90.00
Space group I4/mmm (No. 139)
One atom of each set of equivalent atoms:
Ac 0.0000 0.0000 0.0000 (multiplicity 2)
Cd 0.0000 0.5000 0.2500 (multiplicity 4)
Au 0.1936 0.1936 0.5000 (multiplicity 8)

Values from the calculation:
**ρ**: 13.36 g/cm3
**DFT formation energy**: -12.6 kcal/mol of atoms
**Total moment**: 0.0 μB per cell


(5)
The following is a PBE-GGA calculation of a geometry-optimized AcCoAu structure, from OQMD.

a b c (Å): 7.0040 7.0040 7.0040
angles (deg): 90.00 90.00 90.00
Space group F-43m (No. 216)
One atom of each set of equivalent atoms:
Ac 0.0000 0.0000 0.0000 (multiplicity 4)
Co 0.2500 0.2500 0.2500 (multiplicity 4)
Au 0.2500 0.2500 0.7500 (multiplicity 4)

Values from the calculation:
**ρ**: 9.34 g/cm3
**DFT formation energy**: 11.6 kcal/mol of atoms
**Total moment**: 0.1 μB per cell


(6)
The following is a PBE-GGA calculation of a geometry-optimized AcCu4Au8 structure, from OQMD.

a b c (Å): 9.2640 9.2640 5.3855
angles (deg): 90.00 90.00 90.00
Space group I4/mmm (No. 139)
One atom of each set of equivalent atoms:
Ac 0.0000 0.0000 0.0000 (multiplicity 2)
Cu 0.2500 0.2500 0.2500 (multiplicity 8)
Au 0.0000 0.2229 0.5000 (multiplicity 8)
Au 0.0000 0.3425 0.0000 (multiplicity 8)

Values from the calculation:
**ρ**: 14.78 g/cm3
**DFT formation energy**: -6.5 kcal/mol of atoms
**Total moment**: 0.0 μB per cell


(7)
The following is a PBE-GGA calculation of a geometry-optimized Ac2Cu3Au structure, from OQMD.

a b c (Å): 8.1521 8.9572 15.5133
angles (deg): 90.00 90.00 90.00
Space group Fmmm (No. 69)
One atom of each set of equivalent atoms:
Ac 0.2493 0.0000 0.0000 (multiplicity 8)
Ac 0.2500 0.2500 0.2500 (multiplicity 8)
Cu 0.0000 0.0000 0.1608 (multiplicity 8)
Cu 0.0000 0.2416 0.0806 (multiplicity 16)
Au 0.0000 0.0000 0.3330 (multiplicity 8)

Values from the calculation:
**ρ**: 9.87 g/cm3
**DFT formation energy**: -9.1 kcal/mol of atoms
**Total moment**: 0.0 μB per cell


(8)
The following is a PBE-GGA calculation of a geometry-optimized AcDyAu structure, from OQMD.

a b c (Å): 7.2638 7.2638 7.2638
angles (deg): 90.00 90.00 90.00
Space group F-43m (No. 216)
One atom of each set of equivalent atoms:
Ac 0.0000 0.0000 0.0000 (multiplicity 4)
Dy 0.2500 0.2500 0.2500 (multiplicity 4)
Au 0.2500 0.2500 0.7500 (multiplicity 4)

Values from the calculation:
**ρ**: 10.16 g/cm3
**DFT formation energy**: 6.9 kcal/mol of atoms
**ΔE to the lowest computed polymorph**: 0.184 eV/atom
**Total moment**: 0.0 μB per cell


(9)
The following is a PBE-GGA calculation of a geometry-optimized AcErAu structure, from OQMD.

a b c (Å): 7.3200 7.3200 7.3200
angles (deg): 90.00 90.00 90.00
Space group F-43m (No. 216)
One atom of each set of equivalent atoms:
Ac 0.0000 0.0000 0.0000 (multiplicity 4)
Er 0.0000 0.0000 0.5000 (multiplicity 4)
Au 0.2500 0.2500 0.2500 (multiplicity 4)

Values from the calculation:
**ρ**: 10.01 g/cm3
**DFT formation energy**: -8.3 kcal/mol of atoms
**Total moment**: 0.4 μB per cell


(10)
The following is a PBE-GGA calculation of a geometry-optimized AcFeAu structure, from OQMD.

a b c (Å): 6.6941 6.6941 6.6941
angles (deg): 90.00 90.00 90.00
Space group F-43m (No. 216)
One atom of each set of equivalent atoms:
Ac 0.0000 0.0000 0.0000 (multiplicity 4)
Fe 0.2500 0.2500 0.2500 (multiplicity 4)
Au 0.0000 0.0000 0.5000 (multiplicity 4)

Values from the calculation:
**ρ**: 10.62 g/cm3
**DFT formation energy**: 2.9 kcal/mol of atoms
**ΔE to the lowest computed polymorph**: 0.000 eV/atom
**Total moment**: 7.9 μB per cell


(11)
The following is a PBE-GGA calculation of a geometry-optimized AcFeAu structure, from OQMD.

a b c (Å): 7.1374 7.1374 7.1374
angles (deg): 90.00 90.00 90.00
Space group F-43m (No. 216)
One atom of each set of equivalent atoms:
Ac 0.0000 0.0000 0.0000 (multiplicity 4)
Fe 0.2500 0.2500 0.2500 (multiplicity 4)
Au 0.2500 0.2500 0.7500 (multiplicity 4)

Values from the calculation:
**ρ**: 8.77 g/cm3
**DFT formation energy**: 12.9 kcal/mol of atoms
**ΔE to the lowest computed polymorph**: 0.437 eV/atom
**Total moment**: 9.3 μB per cell


(12)
The following is a PBE-GGA calculation of a geometry-optimized AcGa2Au2 structure, from OQMD.

a b c (Å): 4.6060 4.6060 10.5051
angles (deg): 90.00 90.00 90.00
Space group P4/nmm (No. 129, origin choice 2)
One atom of each set of equivalent atoms:
Ac 0.2500 0.2500 0.2482 (multiplicity 2)
Ga 0.2500 0.2500 0.8722 (multiplicity 2)
Ga 0.2500 0.7500 0.5000 (multiplicity 2)
Au 0.2500 0.2500 0.6275 (multiplicity 2)
Au 0.2500 0.7500 0.0000 (multiplicity 2)

Values from the calculation:
**ρ**: 11.33 g/cm3
**ΔE to the lowest computed polymorph**: 0.000 eV/atom
**Total moment**: 0.0 μB per cell


(13)
The following is a PBE-GGA calculation of a geometry-optimized AcGa2Au2 structure, from OQMD.

a b c (Å): 4.4371 4.4371 11.5261
angles (deg): 90.00 90.00 90.00
Space group I4/mmm (No. 139)
One atom of each set of equivalent atoms:
Ac 0.0000 0.0000 0.0000 (multiplicity 2)
Ga 0.0000 0.5000 0.2500 (multiplicity 4)
Au 0.0000 0.0000 0.3775 (multiplicity 4)

Values from the calculation:
**ρ**: 11.13 g/cm3
**ΔE to the lowest computed polymorph**: 0.020 eV/atom
**Total moment**: 0.0 μB per cell


(14)
The following is a PBE-GGA calculation of a geometry-optimized Ac2Ga5Au3 structure, from OQMD.

a b c (Å): 10.8547 12.7310 6.3810
angles (deg): 90.00 90.00 90.00
Space group Ibam (No. 72)
One atom of each set of equivalent atoms:
Ac 0.2432 0.1258 0.0000 (multiplicity 8)
Ga 0.0000 0.0000 0.2500 (multiplicity 4)
Ga 0.0000 0.2590 0.2500 (multiplicity 8)
Ga 0.1373 0.3790 0.0000 (multiplicity 8)
Au 0.0000 0.5000 0.2500 (multiplicity 4)
Au 0.1241 0.1296 0.5000 (multiplicity 8)

Values from the calculation:
**ρ**: 10.50 g/cm3
**Total moment**: 0.0 μB per cell


(15)
The following is a PBE-GGA calculation of a geometry-optimized AcGdAu structure, from OQMD.

a b c (Å): 7.1847 7.1847 7.1847
angles (deg): 90.00 90.00 90.00
Space group F-43m (No. 216)
One atom of each set of equivalent atoms:
Ac 0.0000 0.0000 0.0000 (multiplicity 4)
Gd 0.2500 0.2500 0.2500 (multiplicity 4)
Au 0.0000 0.0000 0.5000 (multiplicity 4)

Values from the calculation:
**ρ**: 10.41 g/cm3
**DFT formation energy**: 2.6 kcal/mol of atoms
**Total moment**: 0.0 μB per cell


(16)
The following is a PBE-GGA calculation of a geometry-optimized AcGeAu structure, from OQMD.

a b c (Å): 7.2915 7.2915 7.2915
angles (deg): 90.00 90.00 90.00
Space group F-43m (No. 216)
One atom of each set of equivalent atoms:
Ac 0.0000 0.0000 0.0000 (multiplicity 4)
Ge 0.2500 0.2500 0.2500 (multiplicity 4)
Au 0.2500 0.2500 0.7500 (multiplicity 4)

Values from the calculation:
**ρ**: 8.51 g/cm3
**ΔE to the lowest computed polymorph**: 0.664 eV/atom
**Total moment**: 0.0 μB per cell


(17)
The following is a PBE-GGA calculation of a geometry-optimized AcGeAu structure, from OQMD.

a b c (Å): 7.0182 7.0182 7.0182
angles (deg): 90.00 90.00 90.00
Space group F-43m (No. 216)
One atom of each set of equivalent atoms:
Ac 0.0000 0.0000 0.0000 (multiplicity 4)
Ge 0.0000 0.0000 0.5000 (multiplicity 4)
Au 0.2500 0.2500 0.2500 (multiplicity 4)

Values from the calculation:
**ρ**: 9.54 g/cm3
**ΔE to the lowest computed polymorph**: 0.186 eV/atom
**Total moment**: 0.0 μB per cell


(18)
The following is a PBE-GGA calculation of a geometry-optimized AcGeAu structure, from OQMD.

a b c (Å): 4.5391 4.5391 4.4205
angles (deg): 90.00 90.00 120.00
Space group P3m1 (No. 156)
One atom of each set of equivalent atoms:
Ac 0.0000 0.0000 0.0000 (multiplicity 1)
Ge 0.6667 0.3333 0.4865 (multiplicity 1)
Au 0.3333 0.6667 0.5098 (multiplicity 1)

Values from the calculation:
**ρ**: 10.46 g/cm3
**ΔE to the lowest computed polymorph**: 0.000 eV/atom
**Total moment**: 0.0 μB per cell


(19)
The following is a PBE-GGA calculation of a geometry-optimized Ac3Ge4Au4 structure, from OQMD.

a b c (Å): 4.5407 4.5538 26.0613
angles (deg): 90.00 90.00 90.00
Space group Immm (No. 71)
One atom of each set of equivalent atoms:
Ac 0.0000 0.0000 0.0000 (multiplicity 2)
Ac 0.0000 0.5000 0.1509 (multiplicity 4)
Ge 0.0000 0.0000 0.4508 (multiplicity 4)
Ge 0.0000 0.5000 0.3058 (multiplicity 4)
Au 0.0000 0.0000 0.2503 (multiplicity 4)
Au 0.0000 0.5000 0.4048 (multiplicity 4)

Values from the calculation:
**ρ**: 10.84 g/cm3
**Total moment**: 0.0 μB per cell


(20)
The following is a PBE-GGA calculation of a geometry-optimized AcHgAu structure, from OQMD.

a b c (Å): 4.9536 3.8855 8.6591
angles (deg): 90.00 90.00 90.00
Space group Pmma (No. 51)
One atom of each set of equivalent atoms:
Ac 0.2500 0.0000 0.2249 (multiplicity 2)
Hg 0.2500 0.5000 0.5845 (multiplicity 2)
Au 0.2500 0.5000 0.9154 (multiplicity 2)

Values from the calculation:
**ρ**: 12.45 g/cm3
**DFT formation energy**: -15.6 kcal/mol of atoms
**ΔE to the lowest computed polymorph**: 0.000 eV/atom
**Total moment**: 0.0 μB per cell


(21)
The following is a PBE-GGA calculation of a geometry-optimized Ac2HgAu2 structure, from OQMD.

a b c (Å): 8.3860 8.3860 4.1468
angles (deg): 90.00 90.00 90.00
Space group P4/mbm (No. 127)
One atom of each set of equivalent atoms:
Ac 0.1756 0.3244 0.0000 (multiplicity 4)
Hg 0.0000 0.0000 0.5000 (multiplicity 2)
Au 0.1241 0.6241 0.5000 (multiplicity 4)

Values from the calculation:
**ρ**: 11.94 g/cm3
**DFT formation energy**: -17.5 kcal/mol of atoms
**Total moment**: 0.0 μB per cell


(22)
The following is a PBE-GGA calculation of a geometry-optimized AcHg2Au2 structure, from OQMD.

a b c (Å): 4.4028 4.4028 13.0368
angles (deg): 90.00 90.00 90.00
Space group I4/mmm (No. 139)
One atom of each set of equivalent atoms:
Ac 0.0000 0.0000 0.0000 (multiplicity 2)
Hg 0.0000 0.5000 0.2500 (multiplicity 4)
Au 0.0000 0.0000 0.3965 (multiplicity 4)

Values from the calculation:
**ρ**: 13.43 g/cm3
**DFT formation energy**: -11.0 kcal/mol of atoms
**Total moment**: 0.0 μB per cell


(23)
The following is a PBE-GGA calculation of a geometry-optimized AcIn2Au2 structure, from OQMD.

a b c (Å): 4.5096 4.5096 12.4070
angles (deg): 90.00 90.00 90.00
Space group I4/mmm (No. 139)
One atom of each set of equivalent atoms:
Ac 0.0000 0.0000 0.0000 (multiplicity 2)
In 0.0000 0.5000 0.2500 (multiplicity 4)
Au 0.0000 0.0000 0.3902 (multiplicity 4)

Values from the calculation:
**ρ**: 11.20 g/cm3
**Total moment**: 0.0 μB per cell


(24)
The following is a PBE-GGA calculation of a geometry-optimized Ac2In5Au3 structure, from OQMD.

a b c (Å): 11.8890 13.2023 6.6651
angles (deg): 90.00 90.00 90.00
Space group Ibam (No. 72)
One atom of each set of equivalent atoms:
Ac 0.2478 0.1265 0.0000 (multiplicity 8)
In 0.0000 0.2552 0.2500 (multiplicity 8)
In 0.0000 0.5000 0.2500 (multiplicity 4)
In 0.1354 0.1170 0.5000 (multiplicity 8)
Au 0.0000 0.0000 0.2500 (multiplicity 4)
Au 0.1378 0.3763 0.0000 (multiplicity 8)

Values from the calculation:
**ρ**: 10.28 g/cm3
**Total moment**: 0.0 μB per cell


(25)
The following is a PBE-GGA calculation of a geometry-optimized Ac3In4Au2 structure, from OQMD.

a b c (Å): 12.0430 4.9360 9.5696
angles (deg): 90.00 112.76 90.00
Space group C2/m (No. 12)
One atom of each set of equivalent atoms:
Ac 0.0000 0.0000 0.0000 (multiplicity 2)
Ac 0.1801 0.5000 0.6427 (multiplicity 4)
In 0.0204 0.0000 0.3561 (multiplicity 4)
In 0.2424 0.5000 0.0834 (multiplicity 4)
Au 0.1022 0.5000 0.2714 (multiplicity 4)

Values from the calculation:
**ρ**: 9.71 g/cm3
**Total moment**: 0.0 μB per cell


no.,final energy (eV/atom)
1,-4.548
2,-4.210
3,-3.241
4,-3.256
5,-4.324
6,-3.749
7,-4.166
8,-3.690
9,-4.337
10,-5.103
11,-4.666
12,-4.025
13,-4.005
14,-3.985
15,-3.898
16,-4.157
17,-4.635
18,-4.821
19,-4.724
20,-3.235
21,-3.765
22,-2.724
23,-3.835
24,-3.714
25,-3.934